A plane-wave DFT calculation with PBE-GGA was carried out for a relaxed Tb5PuSc crystal.

```
Tb5PuSc
1.0
5.7452 -4.2565 0.0000
5.7452 4.2565 0.0000
-0.9733 0.0000 5.5885
Tb Pu Sc
5 1 1
Direct
0.0000 0.0000 0.0000 Tb
0.2429 0.2429 0.5993 Tb
0.3132 0.6868 0.5000 Tb
0.6868 0.3132 0.5000 Tb
0.7571 0.7571 0.4007 Tb
0.0000 0.0000 0.5000 Pu
0.5000 0.5000 0.0000 Sc
```

E_tot   -5.357 eV/atom
ΔE_f   6.31 eV/f.u.
Theoretical density   6.583 g/cm³
Size of the total moment   0.812 μB/atom

A plane-wave DFT calculation with PBE-GGA was carried out for a relaxed MnW crystal.

```
MnW
1.0
0.0000 3.0322 3.0322
3.0322 0.0000 3.0322
3.0322 3.0322 0.0000
Mn W
2 2
Direct
0.1250 0.1250 0.1250 Mn
0.8750 0.8750 0.8750 Mn
0.3750 0.3750 0.3750 W
0.6250 0.6250 0.6250 W
```

E_tot   -10.913 eV/atom
ΔE_f   0.30 eV/f.u.
Theoretical density   14.222 g/cm³
Size of the total moment   0.654 μB/atom

A plane-wave DFT calculation with PBE-GGA was carried out for a relaxed Na2H3N2 crystal.

```
Na2H3N2
1.0
3.7415 0.0000 0.0000
0.0000 3.5573 0.0000
-0.3735 0.0000 5.4711
Na H N
2 3 2
Direct
0.1912 0.0000 0.2102 Na
0.8088 0.0000 0.7898 Na
0.4333 0.5000 0.6595 H
0.5000 0.5000 0.0000 H
0.5667 0.5000 0.3405 H
0.2762 0.5000 0.8088 N
0.7238 0.5000 0.1912 N
```

E_tot   -4.151 eV/atom
Theoretical density   1.756 g/cm³
Size of the total moment   0.144 μB/atom

A plane-wave DFT calculation with PBE-GGA was carried out for a relaxed LaSc2Ru crystal.

```
LaSc2Ru
1.0
3.3861 0.0000 0.0000
0.0000 3.3861 0.0000
0.0000 0.0000 8.3574
La Sc Ru
1 2 1
Direct
0.0000 0.0000 0.0000 La
0.0000 0.0000 0.3947 Sc
0.5000 0.5000 0.6612 Sc
0.5000 0.5000 0.2281 Ru
```

E_tot   -6.845 eV/atom
Distance to the lowest polymorph of the same formula   0.1980 eV/atom
ΔE_f   -0.51 eV/f.u.
Theoretical density   5.717 g/cm³
Size of the total moment   0.345 μB/atom

A plane-wave DFT calculation with PBE-GGA was carried out for a relaxed LiRePd2 crystal.

```
LiRePd2
1.0
0.0000 3.0797 3.0797
3.0797 0.0000 3.0797
3.0797 3.0797 0.0000
Li Re Pd
1 1 2
Direct
0.0000 0.0000 0.0000 Li
0.5000 0.5000 0.5000 Re
0.2500 0.2500 0.2500 Pd
0.7500 0.7500 0.7500 Pd
```

E_tot   -5.972 eV/atom
Distance to the lowest polymorph of the same formula   0.3029 eV/atom
ΔE_f   0.86 eV/f.u.
Theoretical density   11.540 g/cm³
Size of the total moment   0.000 μB/atom

A plane-wave DFT calculation with PBE-GGA was carried out for a relaxed Tb4SmPb4 crystal.

```
Tb4SmPb4
1.0
9.9962 0.0000 0.0000
0.0000 9.9962 0.0000
0.0000 0.0000 6.2434
Tb Sm Pb
8 2 8
Direct
0.0839 0.6529 0.1544 Tb
0.1529 0.9161 0.6544 Tb
0.3471 0.5839 0.6544 Tb
0.4161 0.8471 0.1544 Tb
0.5839 0.1529 0.8456 Tb
0.6529 0.4161 0.3456 Tb
0.8471 0.0839 0.3456 Tb
0.9161 0.3471 0.8456 Tb
0.2500 0.2500 0.2500 Sm
0.7500 0.7500 0.7500 Sm
0.0326 0.6249 0.6597 Pb
0.1249 0.9674 0.1597 Pb
0.3751 0.5326 0.1597 Pb
0.4674 0.8751 0.6597 Pb
0.5326 0.1249 0.3403 Pb
0.6249 0.4674 0.8403 Pb
0.8751 0.0326 0.8403 Pb
0.9674 0.3751 0.3403 Pb
```

E_tot   -4.469 eV/atom
ΔE_f   -2.15 eV/f.u.
Theoretical density   8.597 g/cm³
Size of the total moment   0.000 μB/atom

A plane-wave DFT calculation with PBE-GGA was carried out for a relaxed Tb3PmAu crystal.

```
Tb3PmAu
1.0
5.8441 -4.2494 0.0000
5.8441 4.2494 0.0000
-4.5644 0.0000 6.4692
Tb Pm Au
6 2 2
Direct
0.0461 0.0461 0.3104 Tb
0.1108 0.5120 0.2829 Tb
0.4880 0.8892 0.7171 Tb
0.5120 0.1108 0.2829 Tb
0.8892 0.4880 0.7171 Tb
0.9539 0.9539 0.6896 Tb
0.4176 0.4176 0.7233 Pm
0.5824 0.5824 0.2767 Pm
0.2656 0.2656 0.9318 Au
0.7344 0.7344 0.0682 Au
```

E_tot   -4.596 eV/atom
ΔE_f   -1.06 eV/f.u.
Theoretical density   8.463 g/cm³
Size of the total moment   0.000 μB/atom

A plane-wave DFT calculation with PBE-GGA was carried out for a relaxed Na3Pu2Br8 crystal.

```
Na3Pu2Br8
1.0
7.5171 -4.3602 0.0000
7.5171 4.3602 0.0000
-2.1431 0.0000 6.9486
Na Pu Br
3 2 8
Direct
0.0000 0.0000 0.0000 Na
0.2561 0.7439 0.5000 Na
0.7439 0.2561 0.5000 Na
0.2556 0.2556 0.5261 Pu
0.7444 0.7444 0.4739 Pu
0.0968 0.6293 0.7352 Br
0.1134 0.1134 0.7330 Br
0.3707 0.9032 0.2648 Br
0.3776 0.3776 0.2872 Br
0.6224 0.6224 0.7128 Br
0.6293 0.0968 0.7352 Br
0.8866 0.8866 0.2670 Br
0.9032 0.3707 0.2648 Br
```

E_tot   -5.062 eV/atom
Distance to the lowest polymorph of the same formula   0.0000 eV/atom
Theoretical density   4.361 g/cm³
Raw formation energy   -1.524 eV/atom
Size of the total moment   0.846 μB/atom

theoretical density of number 8 (Na3Pu2Br8)?
4.361 g/cm³

Look up the size of the total moment of the second one.
0.654 μB/atom